[1]
Computed, not measured: LaAgAs2 after structural relaxation at the PBE level of DFT.

Output
Mass density in g/cm3: 6.7
Spin magnetization in μB/f.u.: 0.0
Fermi-level density of states in states/eV/cell: 1.0
E_form in kJ per mole of atoms: -69.0

Lattice parameters (Å, degrees): 11.097 4.446 4.269 90.00 110.45 90.00
Space group Cm (No. 8)
Unique sites:
1 La 0.000 0.000 0.000 (multiplicity 2)
2 Ag 0.261 0.000 0.733 (multiplicity 2)
3 As 0.162 0.500 0.848 (multiplicity 2)
4 As 0.434 0.000 0.429 (multiplicity 2)



[2]
Computed, not measured: MnTeS2 after structural relaxation at the PBE level of DFT.

Output
Mass density in g/cm3: 5.0
Total DFT energy (no corrections) in eV/cell: -83.68
Spin magnetization in μB/f.u.: 0.3
Fermi-level density of states in states/eV/cell: 13.3

Lattice parameters (Å, degrees): 5.572 11.250 5.323 90.00 100.48 90.00
Space group C2/c (No. 15)
Unique sites:
1 Mn 0.000 0.027 0.250 (multiplicity 4)
2 Te 0.000 0.324 0.750 (multiplicity 4)
3 S 0.197 0.112 0.592 (multiplicity 8)



[3]
Computed, not measured: NaTa2RuO8 after structural relaxation at the PBE level of DFT.

Output
Mass density in g/cm3: 7.1
Total DFT energy (no corrections) in eV/cell: -197.68
Spin magnetization in μB/f.u.: 2.7
Fermi-level density of states in states/eV/cell: 6.5

Lattice parameters (Å, degrees): 6.666 6.862 6.310 90.00 90.00 90.00
Space group Cmmm (No. 65)
Unique sites:
1 Na 0.000 0.000 0.000 (multiplicity 2)
2 Ta 0.000 0.500 0.244 (multiplicity 4)
3 Ru 0.000 0.000 0.500 (multiplicity 2)
4 O 0.000 0.299 0.500 (multiplicity 4)
5 O 0.000 0.320 0.000 (multiplicity 4)
6 O 0.209 0.000 0.286 (multiplicity 8)



[4]
Computed, not measured: LaFeTc after structural relaxation at the PBE level of DFT.

Output
Mass density in g/cm3: 7.7
Spin magnetization in μB/f.u.: 3.6
Fermi-level density of states in states/eV/cell: 16.5
Energy relative to the lowest polymorph listed for this composition in kcal/mol of atoms: 27.13
E_form in kJ per mole of atoms: 127.3

Lattice parameters (Å, degrees): 6.321 6.321 6.321 90.00 90.00 90.00
Space group F-43m (No. 216)
Unique sites:
1 La 0.000 0.000 0.000 (multiplicity 4)
2 Fe 0.250 0.250 0.750 (multiplicity 4)
3 Tc 0.250 0.250 0.250 (multiplicity 4)



[5]
Computed, not measured: CsZn2Bi2 after structural relaxation at the PBE level of DFT.

Output
Mass density in g/cm3: 6.2
Spin magnetization in μB/f.u.: 0.0
Fermi-level density of states in states/eV/cell: 3.8
Energy relative to the lowest polymorph listed for this composition in kcal/mol of atoms: 0.39
E_form in kJ per mole of atoms: -14.4

Lattice parameters (Å, degrees): 7.807 12.455 14.951 90.00 90.00 90.00
Space group Fddd (No. 70, origin choice 2)
Unique sites:
1 Cs 0.125 0.125 0.125 (multiplicity 8)
2 Zn 0.125 0.297 0.625 (multiplicity 16)
3 Bi 0.125 0.125 0.492 (multiplicity 16)



[6]
Computed, not measured: Pu3Cd3Pd4 after structural relaxation at the PBE level of DFT.

Output
Mass density in g/cm3: 11.2
Spin magnetization in μB/f.u.: 16.6
Fermi-level density of states in states/eV/cell: 73.7
E_form in kJ per mole of atoms: -34.0

Lattice parameters (Å, degrees): 3.935 10.541 10.651 90.00 90.00 90.00
Space group Amm2 (No. 38)
Unique sites:
1 Pu 0.000 0.000 0.000 (multiplicity 2)
2 Pu 0.000 0.167 0.661 (multiplicity 4)
3 Cd 0.000 0.000 0.331 (multiplicity 2)
4 Cd 0.500 0.248 0.414 (multiplicity 4)
5 Pd 0.500 0.000 0.525 (multiplicity 2)
6 Pd 0.500 0.000 0.796 (multiplicity 2)
7 Pd 0.500 0.132 0.167 (multiplicity 4)



Please write out number 2 again, unchanged.
Computed, not measured: MnTeS2 after structural relaxation at the PBE level of DFT.

Output
Mass density in g/cm3: 5.0
Total DFT energy (no corrections) in eV/cell: -83.68
Spin magnetization in μB/f.u.: 0.3
Fermi-level density of states in states/eV/cell: 13.3

Lattice parameters (Å, degrees): 5.572 11.250 5.323 90.00 100.48 90.00
Space group C2/c (No. 15)
Unique sites:
1 Mn 0.000 0.027 0.250 (multiplicity 4)
2 Te 0.000 0.324 0.750 (multiplicity 4)
3 S 0.197 0.112 0.592 (multiplicity 8)